# LiCo2 | Alexandria via LeMat-Bulk | PBE | relaxed
# Crystal system: tetragonal
# DOS at the Fermi energy in states/eV/cell: 10.888
# ΔH_f (0 K) in eV/atom: 0.381
# Calculated volume in A^3/atom: 10.771
# Total moment in Bohr magnetons per cell: 11.94
data_LiCo2
_chemical_formula_sum 'Li4 Co8'
_cell_length_a 5.593
_cell_length_b 5.593
_cell_length_c 4.132
_cell_angle_alpha 90.00
_cell_angle_beta 90.00
_cell_angle_gamma 90.00
_space_group_name_H-M_alt 'I 4/m c m'
_space_group_IT_number 140
_space_group_name_Hall '-I 4 2c'
loop_
_atom_site_label
_atom_site_type_symbol
_atom_site_fract_x
_atom_site_fract_y
_atom_site_fract_z
_atom_site_occupancy
Li1 Li 0.000 0.000 0.250 1
Co1 Co 0.144 0.356 0.000 1